[1]
Entry from the Alexandria database: Li3CdPt after structural relaxation (PBE).

The structure in POSCAR format:
```
Li3CdPt
1.0
-1.768 0.549 3.728
-0.400 -4.256 0.438
8.206 1.685 3.643
Li Cd Pt
6 2 2
direct
0.250 0.253 0.501 Li
0.250 0.067 0.130 Li
0.750 0.328 0.664 Li
0.250 0.672 0.336 Li
0.750 0.933 0.870 Li
0.750 0.747 0.499 Li
0.250 0.437 0.880 Cd
0.750 0.563 0.120 Cd
0.750 0.161 0.323 Pt
0.250 0.839 0.677 Pt
```

Calculated values
Energy relative to the lowest polymorph listed for this composition ... 0.000 eV/atom
Magnetization ... 0.00 μB per formula unit


[2]
Entry from the Alexandria database: TbAlPt after structural relaxation (PBE).

The structure in POSCAR format:
```
TbAlPt
1.0
-2.925 -1.560 -1.749
2.686 -2.916 -1.891
-1.840 -0.906 3.885
Pt Tb Al
1 1 1
direct
0.167 0.000 0.000 Pt
0.667 0.667 0.333 Tb
0.167 0.333 0.667 Al
```

Calculated values
DFT total energy ... -5.826 eV/atom
Magnetization ... 0.00 μB per formula unit


[3]
Entry from the Alexandria database: NaMnBS3 after structural relaxation (PBE).

The structure in POSCAR format:
```
NaMnBS3
1.0
3.298 0.000 0.000
0.000 7.778 -0.209
0.000 -2.235 8.654
S B Na Mn
6 2 2 2
direct
0.250 0.836 0.486 S
0.750 0.432 0.159 S
0.250 0.568 0.841 S
0.750 0.164 0.514 S
0.250 0.148 0.826 S
0.750 0.852 0.174 S
0.750 0.910 0.390 B
0.250 0.090 0.610 B
0.750 0.841 0.812 Na
0.250 0.159 0.188 Na
0.250 0.606 0.104 Mn
0.750 0.394 0.896 Mn
```

Calculated values
DFT total energy ... -5.429 eV/atom
Magnetization ... 2.36 μB per formula unit


[4]
Entry from the Alexandria database: RbCrSe after structural relaxation (PBE).

The structure in POSCAR format:
```
RbCrSe
1.0
-1.927 -3.218 0.849
3.327 -1.838 0.586
-0.257 3.129 11.272
Cr Se Rb
2 2 2
direct
0.000 0.000 0.500 Cr
0.500 0.500 0.500 Cr
0.500 0.000 0.629 Se
0.000 0.500 0.371 Se
0.000 0.500 0.805 Rb
0.500 0.000 0.195 Rb
```

Calculated values
DFT total energy ... -5.018 eV/atom
Magnetization ... 0.99 μB per formula unit


[5]
Entry from the Alexandria database: Pm2AgSn2 after structural relaxation (PBE).

The structure in POSCAR format:
```
Pm2AgSn2
1.0
4.701 0.000 0.000
2.350 5.749 -0.464
2.350 0.056 9.950
Sn Pm Ag
4 4 2
direct
0.072 0.284 0.572 Sn
0.648 0.819 0.885 Sn
0.928 0.716 0.428 Sn
0.352 0.181 0.115 Sn
0.920 0.262 0.898 Pm
0.680 0.311 0.330 Pm
0.320 0.689 0.670 Pm
0.080 0.738 0.102 Pm
0.370 0.914 0.345 Ag
0.630 0.086 0.655 Ag
```

Calculated values
DFT total energy ... -4.712 eV/atom
Magnetization ... 0.00 μB per formula unit


[6]
Entry from the Alexandria database: La3TlOs after structural relaxation (PBE).

The structure in POSCAR format:
```
La3TlOs
1.0
7.533 0.001 -0.003
3.767 6.525 -0.002
3.761 -2.169 6.853
Os La Tl
2 6 2
direct
0.056 0.927 0.725 Os
0.370 0.270 0.754 Os
0.391 0.011 0.475 La
0.035 0.185 0.004 La
0.888 0.011 0.474 La
0.391 0.507 0.475 La
0.035 0.689 0.004 La
0.539 0.185 0.005 La
0.931 0.489 0.413 Tl
0.495 0.707 0.066 Tl
```

Calculated values
Energy relative to the lowest polymorph listed for this composition ... 0.105 eV/atom
Magnetization ... 0.00 μB per formula unit


[7]
Entry from the Alexandria database: NaSr2O3 after structural relaxation (PBE).

The structure in POSCAR format:
```
NaSr2O3
1.0
-3.265 1.513 0.530
-0.663 -2.370 2.679
5.009 5.241 3.406
O Na Sr
3 1 2
direct
0.829 0.829 0.657 O
0.171 0.171 0.343 O
0.500 0.500 0.000 O
0.000 0.000 0.000 Na
0.660 0.660 0.321 Sr
0.340 0.340 0.679 Sr
```

Calculated values
DFT total energy ... -5.335 eV/atom
Magnetization ... 1.02 μB per formula unit


[8]
Entry from the Alexandria database: LaPm6Pr12 after structural relaxation (PBE).

The structure in POSCAR format:
```
LaPm6Pr12
1.0
-9.557 0.842 -1.527
3.863 -5.472 -7.037
1.470 -4.347 8.563
Pr Pm La
12 6 1
direct
0.820 0.614 0.614 Pr
0.614 0.614 0.820 Pr
0.893 0.500 0.107 Pr
0.500 0.107 0.893 Pr
0.386 0.386 0.180 Pr
0.614 0.820 0.614 Pr
0.500 0.893 0.107 Pr
0.107 0.893 0.500 Pr
0.180 0.386 0.386 Pr
0.386 0.180 0.386 Pr
0.107 0.500 0.893 Pr
0.893 0.107 0.500 Pr
0.778 0.327 0.327 Pm
0.673 0.673 0.222 Pm
0.673 0.222 0.673 Pm
0.327 0.778 0.327 Pm
0.327 0.327 0.778 Pm
0.222 0.673 0.673 Pm
0.000 0.000 0.000 La
```

Calculated values
Energy relative to the lowest polymorph listed for this composition ... 0.255 eV/atom
Magnetization ... 0.00 μB per formula unit


[9]
Entry from the Alexandria database: Pm2CdCl8 after structural relaxation (PBE).

The structure in POSCAR format:
```
Pm2CdCl8
1.0
-0.539 3.884 0.473
-7.403 -0.581 -3.673
-5.327 -3.728 8.051
Cl Cd Pm
8 1 2
direct
0.239 0.342 0.478 Cl
0.634 0.928 0.268 Cl
0.394 0.500 0.789 Cl
0.988 0.216 0.977 Cl
0.012 0.784 0.023 Cl
0.606 0.500 0.211 Cl
0.761 0.658 0.522 Cl
0.366 0.072 0.732 Cl
0.500 0.000 0.000 Cd
0.157 0.670 0.315 Pm
0.843 0.330 0.685 Pm
```

Calculated values
DFT total energy ... -4.234 eV/atom
Magnetization ... 0.00 μB per formula unit


[10]
Entry from the Alexandria database: YSc3Cu after structural relaxation (PBE).

The structure in POSCAR format:
```
YSc3Cu
1.0
-2.207 1.774 4.181
-0.745 -4.727 1.613
4.480 0.088 2.328
Cu Sc Y
1 3 1
direct
0.000 0.000 0.000 Cu
0.000 0.500 0.000 Sc
0.500 0.000 0.000 Sc
0.000 0.000 0.500 Sc
0.500 0.500 0.500 Y
```

Calculated values
Energy relative to the lowest polymorph listed for this composition ... 0.000 eV/atom
Magnetization ... 0.00 μB per formula unit


[11]
Entry from the Alexandria database: Ba2Tl3Cd5 after structural relaxation (PBE).

The structure in POSCAR format:
```
Ba2Tl3Cd5
1.0
6.586 0.000 2.492
2.860 9.297 2.390
-0.025 -0.225 10.014
Cd Tl Ba
10 6 4
direct
0.633 0.740 0.995 Cd
0.867 0.005 0.260 Cd
0.505 0.745 0.745 Cd
0.133 0.995 0.740 Cd
0.250 0.500 0.500 Cd
0.367 0.260 0.005 Cd
0.995 0.255 0.255 Cd
0.005 0.745 0.745 Cd
0.750 0.500 0.500 Cd
0.495 0.255 0.255 Cd
0.750 0.000 0.000 Tl
0.876 0.764 0.484 Tl
0.250 0.000 0.000 Tl
0.624 0.516 0.236 Tl
0.124 0.236 0.516 Tl
0.376 0.484 0.764 Tl
0.877 0.370 0.876 Ba
0.623 0.124 0.630 Ba
0.377 0.876 0.370 Ba
0.123 0.630 0.124 Ba
```

Calculated values
Energy relative to the lowest polymorph listed for this composition ... 0.000 eV/atom
Magnetization ... 0.00 μB per formula unit


[12]
Entry from the Alexandria database: Li2In2Hg3 after structural relaxation (PBE).

The structure in POSCAR format:
```
Li2In2Hg3
1.0
6.067 0.000 0.029
0.000 10.391 0.000
2.682 0.000 5.109
Li Hg In
4 6 4
direct
0.438 0.688 0.393 Li
0.562 0.312 0.607 Li
0.938 0.812 0.393 Li
0.062 0.188 0.607 Li
0.665 0.049 0.623 Hg
0.335 0.951 0.377 Hg
0.165 0.451 0.623 Hg
0.835 0.549 0.377 Hg
0.000 0.000 0.000 Hg
0.500 0.500 0.000 Hg
0.536 0.210 0.113 In
0.036 0.290 0.113 In
0.464 0.790 0.887 In
0.964 0.710 0.887 In
```

Calculated values
Energy relative to the lowest polymorph listed for this composition ... 0.013 eV/atom
Magnetization ... 0.00 μB per formula unit


[13]
Entry from the Alexandria database: Tb2Nb3Ge4 after structural relaxation (PBE).

The structure in POSCAR format:
```
Tb2Nb3Ge4
1.0
-4.320 -4.234 -3.595
-0.699 -4.221 5.811
-10.660 7.400 4.093
Nb Ge Tb
12 16 8
direct
0.160 0.671 0.127 Nb
0.660 0.829 0.127 Nb
0.335 0.987 0.250 Nb
0.660 0.829 0.373 Nb
0.160 0.671 0.373 Nb
0.840 0.329 0.627 Nb
0.840 0.329 0.873 Nb
0.340 0.171 0.627 Nb
0.665 0.013 0.750 Nb
0.165 0.487 0.750 Nb
0.835 0.513 0.250 Nb
0.340 0.171 0.873 Nb
0.694 0.137 0.250 Ge
0.174 0.461 0.542 Ge
0.674 0.039 0.542 Ge
0.826 0.539 0.042 Ge
0.306 0.863 0.750 Ge
0.460 0.622 0.250 Ge
0.174 0.461 0.958 Ge
0.326 0.961 0.042 Ge
0.806 0.637 0.750 Ge
0.194 0.363 0.250 Ge
0.960 0.878 0.250 Ge
0.826 0.539 0.458 Ge
0.040 0.122 0.750 Ge
0.674 0.039 0.958 Ge
0.540 0.378 0.750 Ge
0.326 0.961 0.458 Ge
0.997 0.173 0.095 Tb
0.997 0.173 0.405 Tb
0.503 0.673 0.905 Tb
0.497 0.327 0.405 Tb
0.003 0.827 0.595 Tb
0.503 0.673 0.595 Tb
0.497 0.327 0.095 Tb
0.003 0.827 0.905 Tb
```

Calculated values
Energy relative to the lowest polymorph listed for this composition ... 0.000 eV/atom
Magnetization ... 0.00 μB per formula unit


[14]
Entry from the Alexandria database: Cs4TcN2 after structural relaxation (PBE).

The structure in POSCAR format:
```
Cs4TcN2
1.0
5.725 0.000 0.000
0.000 5.725 0.000
2.862 2.862 7.376
Cs N Tc
4 2 1
direct
0.807 0.807 0.387 Cs
0.000 0.500 0.000 Cs
0.193 0.193 0.613 Cs
0.500 0.000 0.000 Cs
0.633 0.633 0.734 N
0.367 0.367 0.266 N
0.000 0.000 0.000 Tc
```

Calculated values
DFT total energy ... -2.723 eV/atom
Magnetization ... 3.02 μB per formula unit


[15]
Entry from the Alexandria database: TcHgSb4 after structural relaxation (PBE).

The structure in POSCAR format:
```
TcHgSb4
1.0
0.000 4.382 4.382
4.382 0.000 4.382
4.382 4.382 0.000
Hg Sb Tc
1 4 1
direct
0.000 0.000 0.000 Hg
0.375 0.876 0.375 Sb
0.375 0.375 0.375 Sb
0.876 0.375 0.375 Sb
0.375 0.375 0.876 Sb
0.750 0.750 0.750 Tc
```

Calculated values
DFT total energy ... -3.677 eV/atom
Magnetization ... 4.13 μB per formula unit


[16]
Entry from the Alexandria database: BaCo2N3 after structural relaxation (PBE).

The structure in POSCAR format:
```
BaCo2N3
1.0
4.663 0.000 0.000
0.000 5.417 -2.904
0.000 -0.116 6.288
N Ba Co
6 2 4
direct
0.250 0.088 0.175 N
0.750 0.912 0.825 N
0.250 0.520 0.825 N
0.750 0.695 0.175 N
0.750 0.480 0.175 N
0.250 0.305 0.825 N
0.750 0.264 0.528 Ba
0.250 0.736 0.472 Ba
0.000 0.194 0.000 Co
0.500 0.194 0.000 Co
0.000 0.806 0.000 Co
0.500 0.806 0.000 Co
```

Calculated values
DFT total energy ... -7.046 eV/atom
Magnetization ... 0.22 μB per formula unit


[17]
Entry from the Alexandria database: Hf6GeP3 after structural relaxation (PBE).

The structure in POSCAR format:
```
Hf6GeP3
1.0
6.636 0.000 0.000
0.000 7.836 -0.200
0.000 -1.944 7.594
Hf P Ge
12 6 2
direct
0.164 0.374 0.285 Hf
0.248 0.468 0.918 Hf
0.101 0.755 0.245 Hf
0.164 0.715 0.626 Hf
0.601 0.245 0.755 Hf
0.752 0.996 0.004 Hf
0.664 0.626 0.715 Hf
0.748 0.918 0.468 Hf
0.748 0.532 0.082 Hf
0.252 0.004 0.996 Hf
0.664 0.285 0.374 Hf
0.248 0.082 0.532 Hf
0.984 0.086 0.285 P
0.356 0.417 0.583 P
0.984 0.715 0.914 P
0.484 0.285 0.086 P
0.856 0.583 0.417 P
0.484 0.914 0.715 P
0.485 0.822 0.178 Ge
0.985 0.178 0.822 Ge
```

Calculated values
DFT total energy ... -8.862 eV/atom
Magnetization ... 0.00 μB per formula unit


[18]
Entry from the Alexandria database: In2ReBr after structural relaxation (PBE).

The structure in POSCAR format:
```
In2ReBr
1.0
3.219 0.016 0.000
-1.763 2.694 0.000
0.000 0.000 10.610
Re In Br
1 2 1
direct
0.000 0.000 0.506 Re
0.000 0.000 0.017 In
0.500 0.500 0.283 In
0.500 0.500 0.693 Br
```

Calculated values
Energy relative to the lowest polymorph listed for this composition ... 0.261 eV/atom
Magnetization ... 0.00 μB per formula unit


[19]
Entry from the Alexandria database: Sm5Ge2Pb after structural relaxation (PBE).

The structure in POSCAR format:
```
Sm5Ge2Pb
1.0
7.276 0.000 -3.435
-1.621 7.093 -3.435
-0.181 -0.227 9.041
Sm Ge Pb
10 4 2
direct
0.481 0.299 0.280 Sm
0.701 0.201 0.720 Sm
0.201 0.019 0.720 Sm
0.799 0.981 0.280 Sm
0.000 0.000 0.000 Sm
0.519 0.701 0.720 Sm
0.500 0.500 0.000 Sm
0.019 0.519 0.720 Sm
0.981 0.481 0.280 Sm
0.299 0.799 0.280 Sm
0.357 0.857 0.000 Ge
0.857 0.643 0.000 Ge
0.143 0.357 0.000 Ge
0.643 0.143 0.000 Ge
0.750 0.750 0.500 Pb
0.250 0.250 0.500 Pb
```

Calculated values
Energy relative to the lowest polymorph listed for this composition ... 0.000 eV/atom
Magnetization ... 1.45 μB per formula unit


[20]
Entry from the Alexandria database: RbSr after structural relaxation (PBE).

The structure in POSCAR format:
```
RbSr
1.0
-4.135 0.350 -7.460
-3.790 -7.445 1.752
-6.435 4.161 3.762
Rb Sr
4 4
direct
0.500 0.500 0.000 Rb
0.000 0.000 0.000 Rb
0.500 0.000 0.500 Rb
0.000 0.500 0.500 Rb
0.000 0.500 0.000 Sr
0.000 0.000 0.500 Sr
0.500 0.000 0.000 Sr
0.500 0.500 0.500 Sr
```

Calculated values
DFT total energy ... -0.879 eV/atom
Magnetization ... 0.27 μB per formula unit


[21]
Entry from the Alexandria database: BaCa3Rh after structural relaxation (PBE).

The structure in POSCAR format:
```
BaCa3Rh
1.0
5.962 0.000 4.048
-2.981 5.163 4.048
-2.981 -5.163 4.048
Ca Rh Ba
6 2 2
direct
0.520 0.250 0.980 Ca
0.250 0.980 0.520 Ca
0.750 0.020 0.480 Ca
0.020 0.480 0.750 Ca
0.980 0.520 0.250 Ca
0.480 0.750 0.020 Ca
0.750 0.750 0.750 Rh
0.250 0.250 0.250 Rh
0.000 0.000 0.000 Ba
0.500 0.500 0.500 Ba
```

Calculated values
Energy relative to the lowest polymorph listed for this composition ... 0.175 eV/atom
Magnetization ... 0.00 μB per formula unit